1.
A geometry-optimized Mg3NpO6F2 structure, computed with PBE.

The structure belongs to space group C2/m (No. 12); the cell edges are 10.876, 6.050 and 4.542 Å and the angles 90.00°, 93.18° and 90.00°. The asymmetric unit holds Mg at (0.000, 0.000, 0.000), Mg at (0.250, 0.250, 0.500), Np at (0.000, 0.500, 0.500), O at (0.081, 0.252, 0.737), O at (0.156, 0.500, 0.292) and F at (0.165, 0.000, 0.260).

The calculation puts the total moment at 2.08 μB/cell. The uncorrected formation energy comes out at -2.578 eV/atom. As for the density of states at the Fermi level: 0.49 states/eV per atom. For the density, the calculation gives 4941 kg/m3.

***

2.
A geometry-optimized Rb2MgNpF6 structure, computed with PBE.

The structure belongs to space group Pmmn (No. 59, origin choice 2); the cell edges are 6.177, 8.770 and 6.611 Å and the angles 90.00°, 90.00° and 90.00°. The asymmetric unit holds Rb at (0.250, 0.009, 0.209), Mg at (0.250, 0.750, 0.774), Np at (0.250, 0.250, 0.695), F at (0.011, 0.750, 0.989), F at (0.018, 0.750, 0.551) and F at (0.250, 0.516, 0.779).

The calculation puts the total moment at 9.68 μB/cell. The uncorrected formation energy comes out at -2.926 eV/atom. As for the density of states at the Fermi level: 0.68 states/eV per atom. For the density, the calculation gives 5066 kg/m3.

***

3.
A geometry-optimized Rb2Mg3NpF12 structure, computed with PBE.

The structure belongs to space group R-3m (No. 166, hexagonal axes); the cell edges are 7.4800, 7.4800 and 18.2938 Å and the angles 90.00°, 90.00° and 120.00°. The asymmetric unit holds Rb at (0.0000, 0.0000, 0.1004), Mg at (0.0000, 0.5000, 0.0000), Np at (0.0000, 0.0000, 0.5000), F at (0.0310, 0.5155, 0.1131) and F at (0.0787, 0.5393, 0.3349).

The calculation puts the total moment at 9.00 μB/cell. The uncorrected formation energy comes out at -3.345 eV/atom. As for the density of states at the Fermi level: 0.67 states/eV per atom. For the density, the calculation gives 3984 kg/m3.

***

4.
A geometry-optimized Mg3NpTl2F12 structure, computed with PBE.

The structure belongs to space group R-3m (No. 166, hexagonal axes); the cell edges are 7.5429, 7.5429 and 16.3936 Å and the angles 90.00°, 90.00° and 120.00°. The asymmetric unit holds Mg at (0.0000, 0.5000, 0.0000), Np at (0.0000, 0.0000, 0.5000), Tl at (0.0000, 0.0000, 0.1083), F at (0.0015, 0.5008, 0.8761) and F at (0.0935, 0.5468, 0.3137).

The calculation puts the total moment at 9.00 μB/cell. The uncorrected formation energy comes out at -3.096 eV/atom. As for the density of states at the Fermi level: 0.62 states/eV per atom. For the density, the calculation gives 5838 kg/m3.

***

5.
A geometry-optimized Mg2OF structure, computed with PBE.

The structure belongs to space group I-42d (No. 122); the cell edges are 4.888, 4.888 and 9.628 Å and the angles 90.00°, 90.00° and 90.00°. The asymmetric unit holds Mg at (0.218, 0.250, 0.125), O at (0.000, 0.000, 0.000) and F at (0.000, 0.000, 0.500).

The calculation puts the total moment at 0.00 μB/cell. The uncorrected formation energy comes out at -2.291 eV/atom. As for the density of states at the Fermi level: 0.18 states/eV per atom. For the density, the calculation gives 2414 kg/m3.

***

6.
A geometry-optimized MgOF2 structure, computed with PBE.

The structure belongs to space group Imm2 (No. 44); the cell edges are 2.760, 2.955 and 14.081 Å and the angles 90.00°, 90.00° and 90.00°. The asymmetric unit holds Mg at (0.000, 0.000, 0.000), O at (0.000, 0.500, 0.737), F at (0.000, 0.000, 0.556) and F at (0.000, 0.500, 0.409).

The calculation puts the total moment at 4.00 μB/cell. The uncorrected formation energy comes out at -1.620 eV/atom. As for the density of states at the Fermi level: 0.17 states/eV per atom. For the density, the calculation gives 2265 kg/m3.

***

7.
A geometry-optimized MgO2F2 structure, computed with PBE.

The structure belongs to space group P4/mmm (No. 123); the cell edges are 3.768, 3.768 and 3.663 Å and the angles 90.00°, 90.00° and 90.00°. The asymmetric unit holds Mg at (0.000, 0.000, 0.000), O at (0.500, 0.500, 0.000), O at (0.500, 0.500, 0.500) and F at (0.000, 0.500, 0.500).

The calculation puts the total moment at 0.00 μB/cell. The uncorrected formation energy comes out at -0.538 eV/atom. As for the density of states at the Fermi level: 0.22 states/eV per atom. For the density, the calculation gives 3010 kg/m3.

***

8.
A geometry-optimized MgO2F structure, computed with PBE.

The structure belongs to space group Fm-3m (No. 225); the cell edges are 5.406, 5.406 and 5.406 Å and the angles 90.00°, 90.00° and 90.00°. The asymmetric unit holds Mg at (0.000, 0.000, 0.000), O at (0.250, 0.250, 0.250) and F at (0.000, 0.000, 0.500).

The calculation puts the total moment at 12.00 μB/cell. The uncorrected formation energy comes out at -0.573 eV/atom. As for the density of states at the Fermi level: 0.45 states/eV per atom. For the density, the calculation gives 3166 kg/m3.

***

Please write out number 2 again, unchanged.
A geometry-optimized Rb2MgNpF6 structure, computed with PBE.

The structure belongs to space group Pmmn (No. 59, origin choice 2); the cell edges are 6.177, 8.770 and 6.611 Å and the angles 90.00°, 90.00° and 90.00°. The asymmetric unit holds Rb at (0.250, 0.009, 0.209), Mg at (0.250, 0.750, 0.774), Np at (0.250, 0.250, 0.695), F at (0.011, 0.750, 0.989), F at (0.018, 0.750, 0.551) and F at (0.250, 0.516, 0.779).

The calculation puts the total moment at 9.68 μB/cell. The uncorrected formation energy comes out at -2.926 eV/atom. As for the density of states at the Fermi level: 0.68 states/eV per atom. For the density, the calculation gives 5066 kg/m3.